Entry from Alexandria: a geometry-optimized Tl7Hg4Pb structure (GGA-PBE).

abc: 3.748 3.748 29.792
angles: 90.00 90.00 120.00
Fractional coordinates of all 12 atoms:
Tl  0.333  0.667  0.160
Tl  0.667  0.333  0.589
Tl  0.333  0.667  0.411
Tl  0.000  0.000  0.249
Tl  0.000  0.000  0.751
Tl  0.000  0.000  0.000
Tl  0.667  0.333  0.840
Hg  0.667  0.333  0.081
Hg  0.667  0.333  0.329
Hg  0.333  0.667  0.919
Hg  0.333  0.667  0.671
Pb  0.000  0.000  0.500

Calculated density in g/cm³: 11.18
ΔE_f in eV per atom: 0.014
Spin magnetization in μB/f.u.: 0.0
Space-group type: P-3m1



Entry from Alexandria: a geometry-optimized SrFe4I12 structure (GGA-PBE).

abc: 9.363 9.363 9.363
angles: 108.30 111.81 108.34
Each line ends with the local moment (μB).
Fractional coordinates of all 17 atoms:
I  0.311  0.501  0.189  0.20
I  0.927  0.242  0.684  0.16
I  0.558  0.242  0.316  0.16
I  0.816  0.759  0.575  0.16
I  0.184  0.241  0.425  0.16
I  0.442  0.758  0.684  0.16
I  0.184  0.759  0.943  0.16
I  0.689  0.878  0.189  0.20
I  0.311  0.122  0.811  0.20
I  0.073  0.758  0.316  0.16
I  0.689  0.499  0.811  0.20
I  0.816  0.241  0.057  0.16
Fe  0.500  0.500  0.500  3.44
Fe  0.500  0.000  0.000  3.44
Fe  0.000  0.500  0.000  3.44
Fe  0.000  0.000  0.500  3.44
Sr  0.000  0.500  0.500  0.01

Calculated density in g/cm³: 4.83
Spin magnetization in μB/f.u.: 17.4
Space-group type: Immm
ΔE_f (raw) in eV/atom: -0.259



Entry from Alexandria: a geometry-optimized CsCuSnSe2 structure (GGA-PBE).

abc: 5.926 7.477 8.748
angles: 115.30 90.00 90.00
Fractional coordinates of all 10 atoms:
Se  0.756  0.612  0.223
Se  0.756  0.888  0.777
Se  0.244  0.388  0.777
Se  0.244  0.112  0.223
Cu  0.000  0.000  0.000
Cu  0.000  0.500  0.000
Cs  0.752  0.250  0.500
Cs  0.248  0.750  0.500
Sn  0.500  0.750  0.000
Sn  0.500  0.250  0.000

Calculated density in g/cm³: 4.48
Spin magnetization in μB/f.u.: 0.0
Space-group type: Cmme
ΔE_f (raw) in eV/atom: -0.518



Entry from Alexandria: a geometry-optimized CeY2ScSb4 structure (GGA-PBE).

abc: 4.370 7.545 7.569
angles: 109.44 90.00 90.00
Each line ends with the local moment (μB).
Fractional coordinates of all 8 atoms:
Sc  0.500  0.500  0.000  0.00
Y  0.000  0.500  0.500  0.00
Y  0.500  0.000  0.500  0.00
Sb  0.500  0.741  0.752  -0.01
Sb  0.000  0.261  0.759  -0.01
Sb  0.500  0.259  0.248  -0.01
Sb  0.000  0.739  0.241  -0.01
Ce  0.000  0.000  0.000  0.63

Calculated density in g/cm³: 6.00
Spin magnetization in μB/f.u.: 0.7
Space-group type: P2/m
ΔE_f (raw) in eV/atom: -1.059



Entry from Alexandria: a geometry-optimized SrGe2Pt structure (GGA-PBE).

abc: 4.866 4.866 4.866
angles: 60.00 60.00 60.00
Fractional coordinates of all 4 atoms:
Ge  0.250  0.250  0.250
Ge  0.750  0.750  0.750
Sr  0.000  0.000  0.000
Pt  0.500  0.500  0.500

Calculated density in g/cm³: 8.72
ΔE_f in eV per atom: -0.256
Spin magnetization in μB/f.u.: 0.0
Space-group type: Fm-3m



Entry from Alexandria: a geometry-optimized Er5PaN6 structure (GGA-PBE).

abc: 5.953 5.958 5.956
angles: 59.99 80.41 70.54
Fractional coordinates of all 12 atoms:
Er  0.500  0.831  0.337
Er  0.000  0.666  0.667
Er  0.000  0.334  0.333
Er  0.500  0.500  0.000
Er  0.500  0.169  0.663
N  0.243  0.242  0.000
N  0.754  0.082  0.324
N  0.754  0.406  0.676
N  0.246  0.594  0.324
N  0.757  0.758  0.000
N  0.246  0.918  0.676
Pa  0.000  0.000  0.000

Calculated density in g/cm³: 11.09
Spin magnetization in μB/f.u.: 0.0
Space-group type: C2/m
ΔE_f (raw) in eV/atom: -1.784



| no. | uncorrected energy (eV for the cell shown) |
| --- | --- |
| 1 | -21.3 |
| 2 | -58.5 |
| 3 | -37.0 |
| 4 | -50.2 |
| 5 | -18.0 |
| 6 | -103.7 |